[1]
Below is an optimized crystal structure of LaZn3IrPd, with properties calculated at the PBE level.

Cell: 7.9117 11.1592 5.6322 Å, 90.00 90.00 90.00°
With the nearest neighbours (Å) after each atom.
Space group Cmcm (No. 63)
Asymmetric unit:
1 La 0.0000 0.2144 0.2500 [4 per cell]  1 Ir 2.67
2 Zn 0.0000 0.3241 0.7500 [4 per cell]  1 Ir 2.48, 1 Pd 2.56
3 Zn 0.2392 0.0000 0.0000 [8 per cell]  2 Ir 2.55, 2 Pd 2.58, 2 Zn 2.82
4 Ir 0.0000 0.4538 0.2500 [4 per cell]  5 Zn 2.48-2.55, 1 La 2.67
5 Pd 0.0000 0.0945 0.7500 [4 per cell]  5 Zn 2.56-2.58

Properties
The electronic total energy comes out at -99.4 eV for the cell shown. As for the total magnetization: 0.0 μB/f.u. Its formation energy is -2.04 eV per formula unit. As for the density of states at the Fermi level: 9.22 states/eV per cell. As for the calculated density: 8.5 g cm⁻³.

[2]
Below is an optimized crystal structure of LiHfIr2Se, with properties calculated at the PBE level.

Cell: 4.9137 4.9137 5.1897 Å, 90.00 90.00 90.00°
With the nearest neighbours (Å) after each atom.
Space group P4/mmm (No. 123)
Asymmetric unit:
1 Li 0.0000 0.0000 0.0000 [1 per cell]  4 Se 3.47, 8 Ir 3.57
2 Hf 0.5000 0.5000 0.5000 [1 per cell]  4 Ir 2.46, 2 Se 2.59
3 Ir 0.0000 0.5000 0.5000 [2 per cell]  2 Hf 2.46
4 Se 0.5000 0.5000 0.0000 [1 per cell]  2 Hf 2.59

Properties
The electronic total energy comes out at -29.5 eV for the cell shown. As for the total magnetization: 1.2 μB/f.u. Its formation energy (no corrections) is 68.12 kJ per mole of atoms. As for the density of states at the Fermi level: 6.47 states/eV per cell. As for the calculated density: 8.6 g cm⁻³.

[3]
Below is an optimized crystal structure of NiP2ICl, with properties calculated at the PBE level.

Cell: 4.5840 4.5840 4.6287 Å, 90.00 90.00 90.00°
With the nearest neighbours (Å) after each atom.
Space group P4/mmm (No. 123)
Asymmetric unit:
1 Ni 0.0000 0.0000 0.0000 [1 per cell]  4 P 2.29, 2 Cl 2.31
2 P 0.0000 0.5000 0.0000 [2 per cell]  2 Ni 2.29
3 I 0.5000 0.5000 0.5000 [1 per cell]  4 Cl 3.24, 8 P 3.26
4 Cl 0.0000 0.0000 0.5000 [1 per cell]  2 Ni 2.31

Properties
The electronic total energy comes out at -17.8 eV for the cell shown. As for the total magnetization: 0.0 μB/f.u. Its formation energy (no corrections) is 41.82 kJ per mole of atoms. As for the density of states at the Fermi level: 4.08 states/eV per cell. As for the calculated density: 4.8 g cm⁻³.

[4]
Below is an optimized crystal structure of MnAsAu2, with properties calculated at the PBE level.

Cell: 3.9857 3.9857 8.8890 Å, 90.00 90.00 90.00°
With the nearest neighbours (Å) after each atom.
Space group I4/mmm (No. 139)
Asymmetric unit:
1 Mn 0.0000 0.0000 0.0000 [2 per cell]  4 As 2.82, 8 Au 2.98
2 As 0.0000 0.0000 0.5000 [2 per cell]  4 Mn 2.82, 8 Au 2.98
3 Au 0.0000 0.5000 0.2500 [4 per cell]  4 Au 2.82, 4 As 2.98, 4 Mn 2.98

Properties
The electronic total energy comes out at -40.2 eV for the cell shown. As for the total magnetization: 4.3 μB/f.u. Its formation energy is 0.29 eV per formula unit. As for the density of states at the Fermi level: 3.46 states/eV per cell. As for the calculated density: 12.3 g cm⁻³.

[5]
Below is an optimized crystal structure of PuPa5Si2, with properties calculated at the PBE level.

Cell: 3.2058 9.7726 11.8344 Å, 90.00 90.00 90.00°
With the nearest neighbours (Å) after each atom.
Space group Immm (No. 71)
Asymmetric unit:
1 Pu 0.0000 0.0000 0.0000 [2 per cell]  4 Si 3.11, 2 Pu 3.21
2 Pa 0.0000 0.2079 0.3532 [8 per cell]  3 Si 3.00, 6 Pa 3.03-3.21
3 Pa 0.0000 0.5000 0.0000 [2 per cell]  10 Pa 3.12-3.21, 2 Si 3.25
4 Si 0.0000 0.5000 0.2747 [4 per cell]  7 Pa 3.00-3.25, 2 Pu 3.11, 2 Si 3.21

Properties
The electronic total energy comes out at -147.6 eV for the cell shown. As for the total magnetization: 5.6 μB/f.u. Its formation energy (no corrections) is -14.03 kJ per mole of atoms. As for the density of states at the Fermi level: 33.50 states/eV per cell. As for the calculated density: 13.0 g cm⁻³.

[6]
Below is an optimized crystal structure of Tl2HgP, with properties calculated at the PBE level.

Cell: 4.2272 4.2272 22.2496 Å, 90.00 90.00 120.00°
With the nearest neighbours (Å) after each atom.
Space group R-3m (No. 166, hexagonal axes)
Asymmetric unit:
1 Tl 0.0000 0.0000 0.2334 [6 per cell]  3 P 2.86
2 Hg 0.0000 0.0000 0.0000 [3 per cell]  6 Tl 3.30
3 P 0.0000 0.0000 0.5000 [3 per cell]  6 Tl 2.86

Properties
The electronic total energy comes out at -29.9 eV for the cell shown. As for the total magnetization: 0.0 μB/f.u. Its formation energy is 0.47 eV per formula unit. As for the density of states at the Fermi level: 3.46 states/eV per cell. As for the calculated density: 9.3 g cm⁻³.

[7]
Below is an optimized crystal structure of Rb2Nb2V, with properties calculated at the PBE level.

Cell: 4.1568 4.1568 16.7325 Å, 90.00 90.00 90.00°
With the nearest neighbours (Å) after each atom.
Space group I4/mmm (No. 139)
Asymmetric unit:
1 Rb 0.0000 0.5000 0.2500 [4 per cell]  4 Rb 2.94
2 Nb 0.0000 0.0000 0.0656 [4 per cell]  1 Nb 2.19
3 V 0.0000 0.0000 0.5000 [2 per cell]  8 Nb 3.14

Properties
The electronic total energy comes out at -46.5 eV for the cell shown. As for the total magnetization: 2.8 μB/f.u. Its formation energy is 7.93 eV per formula unit. As for the density of states at the Fermi level: 8.58 states/eV per cell. As for the calculated density: 4.7 g cm⁻³.

[8]
Below is an optimized crystal structure of AcTbNdY, with properties calculated at the PBE level.

Cell: 8.3299 8.3299 8.3299 Å, 90.00 90.00 90.00°
With the nearest neighbours (Å) after each atom.
Space group F-43m (No. 216)
Asymmetric unit:
1 Ac 0.0000 0.0000 0.0000 [4 per cell]  4 Tb 3.61, 4 Y 3.61
2 Tb 0.2500 0.2500 0.7500 [4 per cell]  4 Nd 3.61, 4 Ac 3.61
3 Nd 0.0000 0.0000 0.5000 [4 per cell]  4 Y 3.61, 4 Tb 3.61
4 Y 0.2500 0.2500 0.2500 [4 per cell]  4 Ac 3.61, 4 Nd 3.61

Properties
The electronic total energy comes out at -78.1 eV for the cell shown. As for the total magnetization: 0.0 μB/f.u. Its formation energy is 0.44 eV per formula unit. As for the density of states at the Fermi level: 30.11 states/eV per cell. As for the calculated density: 7.1 g cm⁻³.

[9]
Below is an optimized crystal structure of Sr2Tl2Pb, with properties calculated at the PBE level.

Cell: 5.3348 5.3348 13.5440 Å, 90.00 90.00 90.00°
With the nearest neighbours (Å) after each atom.
Space group I4/mmm (No. 139)
Asymmetric unit:
1 Sr 0.0000 0.5000 0.2500 [4 per cell]  4 Tl 3.34
2 Tl 0.0000 0.0000 0.1016 [4 per cell]  1 Tl 2.75
3 Pb 0.0000 0.0000 0.5000 [2 per cell]  8 Tl 4.02, 8 Sr 4.31

Properties
The electronic total energy comes out at -24.0 eV for the cell shown. As for the total magnetization: 0.0 μB/f.u. Its formation energy is -0.19 eV per formula unit. As for the density of states at the Fermi level: 4.20 states/eV per cell. As for the calculated density: 6.8 g cm⁻³.

[10]
Below is an optimized crystal structure of PaZn2Pd, with properties calculated at the PBE level.

Cell: 6.6341 6.6341 6.6341 Å, 90.00 90.00 90.00°
With the nearest neighbours (Å) after each atom.
Space group Fm-3m (No. 225)
Asymmetric unit:
1 Pa 0.0000 0.0000 0.0000 [4 per cell]  8 Zn 2.87
2 Zn 0.2500 0.2500 0.2500 [8 per cell]  4 Pa 2.87, 4 Pd 2.87
3 Pd 0.0000 0.0000 0.5000 [4 per cell]  8 Zn 2.87

Properties
The electronic total energy comes out at -71.8 eV for the cell shown. As for the total magnetization: 0.0 μB/f.u. Its formation energy is -0.72 eV per formula unit. As for the density of states at the Fermi level: 11.52 states/eV per cell. As for the calculated density: 10.7 g cm⁻³.

[11]
Below is an optimized crystal structure of CsLaAsSe2, with properties calculated at the PBE level.

Cell: 5.5451 5.5451 5.7244 Å, 90.00 90.00 90.00°
With the nearest neighbours (Å) after each atom.
Space group P4/mmm (No. 123)
Asymmetric unit:
1 Cs 0.0000 0.0000 0.0000 [1 per cell]  4 Se 2.77, 2 As 2.86
2 La 0.5000 0.5000 0.5000 [1 per cell]  4 As 3.92, 8 Se 3.98
3 As 0.0000 0.0000 0.5000 [1 per cell]  2 Cs 2.86
4 Se 0.0000 0.5000 0.0000 [2 per cell]  2 Cs 2.77

Properties
The electronic total energy comes out at -15.4 eV for the cell shown. As for the total magnetization: 0.2 μB/f.u. Its formation energy (no corrections) is 38.41 kJ per mole of atoms. As for the density of states at the Fermi level: 5.13 states/eV per cell. As for the calculated density: 4.8 g cm⁻³.

[12]
Below is an optimized crystal structure of MgAl2O, with properties calculated at the PBE level.

Cell: 4.9715 4.9715 11.9474 Å, 90.00 90.00 90.00°
With the nearest neighbours (Å) after each atom.
Space group I-42d (No. 122)
Asymmetric unit:
1 Mg 0.0000 0.0000 0.0000 [4 per cell]  8 Al 3.05-3.27
2 Al 0.0282 0.2500 0.6250 [8 per cell]  2 O 1.95
3 O 0.0000 0.0000 0.5000 [4 per cell]  4 Al 1.95

Properties
The electronic total energy comes out at -65.8 eV for the cell shown. As for the total magnetization: 0.0 μB/f.u. Its formation energy (no corrections) is -58.07 kJ per mole of atoms. As for the density of states at the Fermi level: 6.45 states/eV per cell. As for the calculated density: 2.1 g cm⁻³.